# 1
# Li2PuPb4 | the Alexandria database | PBE | relaxed
data_Li2PuPb4
_space_group_name_H-M_alt 'I 4/m m m'
_space_group_IT_number 139
_space_group_name_Hall '-I 4 2'
_cell_length_a 7.248
_cell_length_b 7.248
_cell_length_c 7.383
_cell_angle_alpha 90.00
_cell_angle_beta 90.00
_cell_angle_gamma 90.00
loop_
_atom_site_label
_atom_site_fract_x
_atom_site_fract_y
_atom_site_fract_z
Li1 0.000 0.500 0.000
Pu1 0.000 0.000 0.000
Pb1 0.250 0.250 0.250
# Energy of formation (eV/f.u.): -0.99
# Raw total energy (eV per atom): -4.8545
# Crystal system: tetragonal

---

# 2
# ScSb2NO | the Alexandria database | PBE | relaxed
data_ScSb2NO
_space_group_name_H-M_alt 'P 4/m m m'
_space_group_IT_number 123
_space_group_name_Hall '-P 4 2'
_cell_length_a 5.475
_cell_length_b 5.475
_cell_length_c 3.943
_cell_angle_alpha 90.00
_cell_angle_beta 90.00
_cell_angle_gamma 90.00
loop_
_atom_site_label
_atom_site_fract_x
_atom_site_fract_y
_atom_site_fract_z
Sc1 0.000 0.000 0.000
Sb1 0.000 0.500 0.000
N1 0.000 0.000 0.500
O1 0.500 0.500 0.500
# Raw total energy (eV per atom): -4.7976
# Crystal system: tetragonal
# Raw formation energy (meV/atom): 774

---

# 3
# Al2InN3 | the Alexandria database | PBE | relaxed
data_Al2InN3
_space_group_name_H-M_alt 'C m c 21'
_space_group_IT_number 36
_space_group_name_Hall 'C 2c -2'
_cell_length_a 9.836
_cell_length_b 5.655
_cell_length_c 5.246
_cell_angle_alpha 90.00
_cell_angle_beta 90.00
_cell_angle_gamma 90.00
loop_
_atom_site_label
_atom_site_fract_x
_atom_site_fract_y
_atom_site_fract_z
Al1 0.172 0.163 0.000
In1 0.000 0.322 0.495
N1 0.000 0.298 0.915
N2 0.185 0.148 0.364
# Raw total energy (eV per atom): -6.7652
# Crystal system: orthorhombic
# Raw formation energy (meV/atom): -899

---

# 4
# Ac3Pm2Rh3 | the Alexandria database | PBE | relaxed
data_Ac3Pm2Rh3
_space_group_name_H-M_alt 'C 1 m 1'
_space_group_IT_number 8
_space_group_name_Hall 'C -2y'
_cell_length_a 13.235
_cell_length_b 5.798
_cell_length_c 14.372
_cell_angle_alpha 90.00
_cell_angle_beta 92.08
_cell_angle_gamma 90.00
loop_
_atom_site_label
_atom_site_fract_x
_atom_site_fract_y
_atom_site_fract_z
Ac1 0.000 0.000 0.000
Ac2 0.009 0.000 0.263
Ac3 0.100 0.500 0.803
Ac4 0.204 0.500 0.134
Ac5 0.214 0.000 0.634
Ac6 0.415 0.500 0.511
Pm1 0.131 0.500 0.442
Pm2 0.275 0.000 0.943
Pm3 0.290 0.000 0.319
Pm4 0.383 0.500 0.770
Rh1 0.092 0.000 0.819
Rh2 0.117 0.000 0.439
Rh3 0.173 0.000 0.131
Rh4 0.237 0.500 0.625
Rh5 0.290 0.500 0.938
Rh6 0.307 0.500 0.329
# Energy of formation (eV/f.u.): -4.01
# Raw total energy (eV per atom): -5.9869
# Crystal system: monoclinic